{"formula": "Na4PmU3S8", "functional": "PBE-GGA", "state": "optimized geometry", "lattice_angstrom": [[7.9851, 0.0000, 0.0000], [0.0000, 8.1789, 0.1286], [-3.9925, -3.9876, 5.6498]], "species": ["S", "S", "S", "S", "S", "S", "S", "S", "Na", "Na", "Na", "Na", "U", "U", "U", "Pm"], "frac_coords": [[0.7431, 0.7292, 0.4862], [0.7528, 0.2674, 0.0146], [0.2472, 0.7326, 0.9854], [0.2569, 0.2708, 0.5138], [0.2618, 0.2674, 0.0146], [0.7382, 0.7326, 0.9854], [0.2472, 0.7326, 0.4945], [0.7528, 0.2674, 0.5055], [0.5000, 0.0000, 0.0000], [0.0000, 0.0000, 0.5000], [0.0000, 0.0000, 0.0000], [0.5000, 0.0000, 0.5000], [0.0000, 0.5000, 0.5000], [0.5000, 0.5000, 0.0000], [0.5000, 0.5000, 0.5000], [0.0000, 0.5000, 0.0000]], "formation_energy_uncorrected_ev_per_atom": -1.45, "density_g_cm3": 5.37, "energy_ev_per_fu": -100.1, "vol_a3_per_cell": 373, "dos_at_fermi_per_ev_atom": 0.86, "spacegroup": "R-3m, No. 166"}